An optimized crystal structure of Tb2Eu, computed with GGA-PBE.

DFT total energy	-6.460	eV/atom
relative energy among the computed polymorphs	0.0	meV per atom
M_tot	14.333	Bohr magnetons per cell
calculated formation energy	52	meV/atom

Geometry as CIF:
```
data_Tb2Eu
_chemical_formula_sum 'Tb4 Eu2'
_cell_length_a 3.653
_cell_length_b 3.653
_cell_length_c 15.513
_cell_angle_alpha 90.00
_cell_angle_beta 90.00
_cell_angle_gamma 90.00
_symmetry_space_group_name_H-M 'I 4/m m m'
_symmetry_Int_Tables_number 139
_symmetry_space_group_name_Hall '-I 4 2'
loop_
_atom_site_label
_atom_site_type_symbol
_atom_site_fract_x
_atom_site_fract_y
_atom_site_fract_z
Tb1 Tb 0.000 0.000 0.175
Eu1 Eu 0.000 0.000 0.500
```